Entry from Alexandria via LeMat-Bulk: Ho8GaGe5 after structural relaxation (GGA-PBE).

## Properties
Size of the total moment (μB per formula unit): 0.000
Density of states at the Fermi level (states/eV per atom): 0.601
Formation energy (eV/atom): -0.78
V (Å³/atom): 24.4

Cell lengths 7.6307, 7.6307, 7.6307 Å; angles 109.46, 109.48, 109.46 degrees
Positions (direct):
Ho1 0.9888 0.1157 0.7424
Ho2 0.1249 0.7532 0.5078
Ho3 0.7546 0.2468 0.3717
Ho4 0.2576 0.2464 0.3733
Ho5 0.6283 0.3829 0.8751
Ho6 0.4922 0.6171 0.2454
Ho7 0.1269 0.7536 0.0112
Ho8 0.6267 0.8843 0.8731
Ge1 0.3744 0.1248 0.9973
Ge2 0.0027 0.3771 0.1276
Ge3 0.7505 0.6229 0.6256
Ge4 0.8724 0.8752 0.2495
Ge5 0.5000 0.0000 0.5000
Ga1 0.2500 0.5000 0.7500